1.
DFT (GGA-PBE) results for a relaxed CdHPd3 crystal.

Summary:
**DOS(E_F)**: 0.530 states/eV/f.u.
**Crystal system**: monoclinic
**Distance to the lowest polymorph of the same formula**: 0.178 eV/f.u.

Cell: 8.7498 8.7498 4.1313 Å, 103.31 103.31 26.22°
Closest atoms and distances in Å follow each position.
Fractional positions:
Cd  0.0674  0.0674  0.3177  10 Pd 2.81-2.92, 2 Cd 3.03-3.05
Cd  0.9326  0.9326  0.6823  10 Pd 2.81-2.92, 2 Cd 3.03-3.05
H  0.3207  0.3207  0.1045  4 Pd 1.93-2.00
H  0.6793  0.6793  0.8955  4 Pd 1.93-2.00
Pd  0.1893  0.1893  0.9398  3 H 2.00-2.18
Pd  0.3122  0.3122  0.5624  1 H 1.93
Pd  0.4383  0.4383  0.1879  1 H 1.95
Pd  0.5617  0.5617  0.8121  1 H 1.95
Pd  0.6878  0.6878  0.4376  1 H 1.93
Pd  0.8107  0.8107  0.0602  3 H 2.00-2.18

2.
DFT (GGA-PBE) results for a relaxed Ac2La2TbNd crystal.

Summary:
**DOS(E_F)**: 10.366 states/eV/f.u.
**Calculated formation energy**: 0.2430 eV per atom
**Crystal system**: orthorhombic

Cell: 6.8353 18.8235 3.6593 Å, 90.00 90.00 90.00°
Closest atoms and distances in Å follow each position.
Fractional positions:
Ac  0.2197  0.1886  0.0000  4 La 3.50-3.75, 2 Ac 3.66, 1 Nd 3.85
Ac  0.2803  0.6886  0.5000  4 La 3.50-3.75, 2 Ac 3.66, 1 Nd 3.85
Ac  0.7197  0.3114  0.5000  4 La 3.50-3.75, 2 Ac 3.66, 1 Nd 3.85
Ac  0.7803  0.8114  0.0000  4 La 3.50-3.75, 2 Ac 3.66, 1 Nd 3.85
La  0.2120  0.3626  0.5000  1 Nd 3.25, 2 Tb 3.48, 2 Ac 3.50-3.60
La  0.2880  0.8626  0.0000  1 Nd 3.25, 2 Tb 3.48, 2 Ac 3.50-3.60
La  0.7120  0.1374  0.0000  1 Nd 3.25, 2 Tb 3.48, 2 Ac 3.50-3.60
La  0.7880  0.6374  0.5000  1 Nd 3.25, 2 Tb 3.48, 2 Ac 3.50-3.60
Tb  0.0000  0.5000  0.0000  4 La 3.48, 2 Tb 3.66, 4 Nd 3.88
Tb  0.5000  0.0000  0.5000  4 La 3.48, 2 Tb 3.66, 4 Nd 3.88
Nd  0.0000  0.0000  0.0000  2 La 3.25
Nd  0.5000  0.5000  0.5000  2 La 3.25

3.
DFT (GGA-PBE) results for a relaxed Ho3TiSe6 crystal.

Summary:
**DOS(E_F)**: 5.943 states/eV/f.u.
**Formation energy without anion corrections**: -1.614 eV per atom
**Crystal system**: trigonal

Cell: 8.1638 8.1638 8.1638 Å, 90.79 90.79 90.79°
Closest atoms and distances in Å follow each position.
Fractional positions:
Ho  0.0737  0.7454  0.5815  6 Se 2.81-2.91
Ho  0.2546  0.4185  0.9263  6 Se 2.81-2.91
Ho  0.4185  0.9263  0.2546  6 Se 2.81-2.91
Ho  0.5815  0.0737  0.7454  6 Se 2.81-2.91
Ho  0.7454  0.5815  0.0737  6 Se 2.81-2.91
Ho  0.9263  0.2546  0.4185  6 Se 2.81-2.91
Ti  0.0000  0.0000  0.0000  6 Se 2.61
Ti  0.5000  0.5000  0.5000  6 Se 2.65
Se  0.0447  0.6941  0.9193  1 Ti 2.61, 3 Ho 2.81-2.91
Se  0.0807  0.9553  0.3059  1 Ti 2.61, 3 Ho 2.81-2.91
Se  0.1971  0.4137  0.5786  1 Ti 2.65, 3 Ho 2.84-2.90
Se  0.3059  0.0807  0.9553  1 Ti 2.61, 3 Ho 2.81-2.91
Se  0.4137  0.5786  0.1971  1 Ti 2.65, 3 Ho 2.84-2.90
Se  0.4214  0.8029  0.5863  1 Ti 2.65, 3 Ho 2.84-2.90
Se  0.5786  0.1971  0.4137  1 Ti 2.65, 3 Ho 2.84-2.90
Se  0.5863  0.4214  0.8029  1 Ti 2.65, 3 Ho 2.84-2.90
Se  0.6941  0.9193  0.0447  1 Ti 2.61, 3 Ho 2.81-2.91
Se  0.8029  0.5863  0.4214  1 Ti 2.65, 3 Ho 2.84-2.90
Se  0.9193  0.0447  0.6941  1 Ti 2.61, 3 Ho 2.81-2.91
Se  0.9553  0.3059  0.0807  1 Ti 2.61, 3 Ho 2.81-2.91

4.
DFT (GGA-PBE) results for a relaxed BaAlMo2 crystal.

Summary:
**DOS(E_F)**: 3.907 states/eV/f.u.
**Calculated formation energy**: 0.6459 eV per atom
**Crystal system**: trigonal

Cell: 3.2023 3.2023 29.0904 Å, 90.00 90.00 120.00°
Closest atoms and distances in Å follow each position.
Fractional positions:
Ba  0.0000  0.0000  0.0000  6 Ba 3.20, 3 Mo 3.42, 3 Al 3.49
Ba  0.3333  0.6667  0.6667  6 Ba 3.20, 3 Mo 3.42, 3 Al 3.49
Ba  0.6667  0.3333  0.3333  6 Ba 3.20, 3 Mo 3.42, 3 Al 3.49
Al  0.0000  0.0000  0.7682  3 Mo 2.77
Al  0.3333  0.6667  0.4349  3 Mo 2.77
Al  0.6667  0.3333  0.1016  3 Mo 2.77
Mo  0.0000  0.0000  0.2345  3 Mo 2.58
Mo  0.0000  0.0000  0.5058  3 Mo 2.58, 3 Al 2.77
Mo  0.3333  0.6667  0.1725  3 Mo 2.58, 3 Al 2.77
Mo  0.3333  0.6667  0.9012  3 Mo 2.58
Mo  0.6667  0.3333  0.5678  3 Mo 2.58
Mo  0.6667  0.3333  0.8392  3 Mo 2.58, 3 Al 2.77

5.
DFT (GGA-PBE) results for a relaxed LaPb2Br crystal.

Summary:
**DOS(E_F)**: 3.774 states/eV/f.u.
**Formation energy without anion corrections**: -0.540 eV per atom
**Crystal system**: monoclinic
**Distance to the lowest polymorph of the same formula**: 1.019 eV/f.u.

Cell: 3.6954 6.4484 5.3352 Å, 90.00 91.43 90.00°
Closest atoms and distances in Å follow each position.
Fractional positions:
La  0.0000  0.0000  0.0000  4 Br 3.21-3.28
Pb  0.2573  0.5000  0.7636  4 Pb 3.06-3.37
Pb  0.7427  0.5000  0.2364  4 Pb 3.06-3.37
Br  0.5000  0.0000  0.5000  4 La 3.21-3.28

6.
DFT (GGA-PBE) results for a relaxed Sb2AsRu crystal.

Summary:
**DOS(E_F)**: 2.484 states/eV/f.u.
**Formation energy without anion corrections**: 0.148 eV per atom
**Crystal system**: orthorhombic

Cell: 3.1556 4.7156 11.6856 Å, 90.00 90.00 90.00°
Closest atoms and distances in Å follow each position.
Fractional positions:
Sb  0.0000  0.0000  0.0000  4 Ru 2.84, 2 As 3.11, 2 Sb 3.16
Sb  0.0000  0.5000  0.1986  2 Ru 2.83, 2 Sb 3.16
Sb  0.5000  0.0000  0.6986  2 Ru 2.83, 2 Sb 3.16
Sb  0.5000  0.5000  0.5000  4 Ru 2.84, 2 As 3.11, 2 Sb 3.16
As  0.0000  0.5000  0.8262  2 Ru 2.55
As  0.5000  0.0000  0.3262  2 Ru 2.55
Ru  0.0000  0.0000  0.4977  2 As 2.55, 6 Sb 2.83-2.84
Ru  0.5000  0.5000  0.9977  2 As 2.55, 6 Sb 2.83-2.84

7.
DFT (GGA-PBE) results for a relaxed Na2SnPb crystal.

Summary:
**DOS(E_F)**: 2.579 states/eV/f.u.
**Calculated formation energy**: -0.1109 eV per atom
**Crystal system**: trigonal
**Distance to the lowest polymorph of the same formula**: 0.149 eV/f.u.

Cell: 5.2665 5.2665 10.2234 Å, 90.00 90.00 120.00°
Closest atoms and distances in Å follow each position.
Fractional positions:
Na  0.3333  0.6667  0.0601  3 Sn 3.21, 4 Na 3.28-3.49, 1 Pb 3.36
Na  0.3333  0.6667  0.4014  4 Pb 3.33-3.37, 4 Na 3.49-3.65
Na  0.6667  0.3333  0.5986  4 Pb 3.33-3.37, 4 Na 3.49-3.65
Na  0.6667  0.3333  0.9399  3 Sn 3.21, 4 Na 3.28-3.49, 1 Pb 3.36
Sn  0.0000  0.0000  0.1615  3 Na 3.21, 3 Pb 3.23, 1 Sn 3.30
Sn  0.0000  0.0000  0.8385  3 Na 3.21, 3 Pb 3.23, 1 Sn 3.30
Pb  0.3333  0.6667  0.7312  3 Sn 3.23, 5 Na 3.33-3.37
Pb  0.6667  0.3333  0.2688  3 Sn 3.23, 5 Na 3.33-3.37

8.
DFT (GGA-PBE) results for a relaxed Pu3Ga2Hg4 crystal.

Summary:
**DOS(E_F)**: 23.305 states/eV/f.u.
**Calculated formation energy**: -0.1172 eV per atom
**Crystal system**: monoclinic

Cell: 8.4093 8.4093 11.4018 Å, 132.41 132.41 21.44°
Closest atoms and distances in Å follow each position.
Fractional positions:
Pu  0.0000  0.0000  0.0000  2 Pu 3.13, 4 Hg 3.22, 4 Ga 3.28
Pu  0.0341  0.0341  0.7080  2 Pu 3.13, 3 Ga 3.14-3.32, 6 Hg 3.21-3.35
Pu  0.9659  0.9659  0.2920  2 Pu 3.13, 3 Ga 3.14-3.32, 6 Hg 3.21-3.35
Ga  0.3094  0.3094  0.9634  4 Ga 3.04-3.13, 2 Hg 3.10, 5 Pu 3.14-3.32
Ga  0.6906  0.6906  0.0366  4 Ga 3.04-3.13, 2 Hg 3.10, 5 Pu 3.14-3.32
Hg  0.3316  0.3316  0.3592  2 Ga 3.10, 5 Hg 3.13-3.31, 4 Pu 3.21-3.35
Hg  0.3427  0.3427  0.6606  7 Hg 3.13-3.31, 4 Pu 3.22
Hg  0.6573  0.6573  0.3394  7 Hg 3.13-3.31, 4 Pu 3.22
Hg  0.6684  0.6684  0.6408  2 Ga 3.10, 5 Hg 3.13-3.31, 4 Pu 3.21-3.35